Below is crystalline Ho5Al2 at its relaxed geometry, with properties calculated at the PBE-GGA level.

## Properties
E_tot: -4.45 eV/atom

Unit cell a=4.5649 b=37.3136 c=4.5952 alpha=90.00 beta=90.00 gamma=90.00
Last column: nearest neighbours and their distance in Å.
Space group Cmcm (No. 63)
Symmetry-distinct sites (fractional):
Ho  0.0000  0.0359  0.2500 x4  2 Al 3.13, 4 Ho 3.24
Ho  0.0000  0.1120  0.7500 x4  5 Al 3.04-3.31
Ho  0.0000  0.2521  0.2500 x4  4 Al 3.06-3.18, 4 Ho 3.24
Ho  0.0000  0.3261  0.7500 x4  5 Al 3.00-3.32
Ho  0.0000  0.4607  0.2500 x4  2 Al 3.06, 4 Ho 3.24
Al  0.0000  0.1934  0.7500 x4  9 Ho 3.04-3.32
Al  0.0000  0.4066  0.7500 x4  9 Ho 3.00-3.31

=====

Below is crystalline HfZnTe3 at its relaxed geometry, with properties calculated at the PBE-GGA level.

## Properties
uncorrected formation energy: -0.01 eV/atom

Unit cell a=5.5767 b=5.5767 c=5.5767 alpha=90.00 beta=90.00 gamma=90.00
Last column: nearest neighbours and their distance in Å.
Space group Pm-3m (No. 221)
Symmetry-distinct sites (fractional):
Hf  0.0000  0.0000  0.0000 x1  6 Te 2.79
Zn  0.5000  0.5000  0.5000 x1  12 Te 3.94
Te  0.0000  0.0000  0.5000 x3  2 Hf 2.79

=====

Below is crystalline Ho4NiHg at its relaxed geometry, with properties calculated at the PBE-GGA level.

## Properties
E_tot: -4.42 eV/atom

Unit cell a=13.3913 b=13.3913 c=13.3913 alpha=90.00 beta=90.00 gamma=90.00
Last column: nearest neighbours and their distance in Å.
Space group F-43m (No. 216)
Symmetry-distinct sites (fractional):
Ho  0.0000  0.0000  0.1868 x24  2 Hg 3.13, 2 Ni 3.43, 2 Ho 3.43
Ho  0.0610  0.2500  0.2500 x24  2 Ni 2.78
Ho  0.1002  0.1002  0.6002 x16  3 Ni 2.78
Ni  0.1071  0.1071  0.3929 x16  6 Ho 2.78
Hg  0.1647  0.1647  0.8353 x16  9 Ho 3.13-3.43, 3 Hg 3.23

=====

Below is crystalline Sr2Ca4Bi3F2 at its relaxed geometry, with properties calculated at the PBE-GGA level.

## Properties
uncorrected formation energy: -1.63 eV/atom

Unit cell a=4.9213 b=4.9213 c=26.4351 alpha=90.00 beta=90.00 gamma=90.00
Last column: nearest neighbours and their distance in Å.
Space group I4/mmm (No. 139)
Symmetry-distinct sites (fractional):
Sr  0.0000  0.0000  0.1993 x4  1 F 2.90
Ca  0.0000  0.5000  0.0807 x8  2 F 2.47
Bi  0.0000  0.0000  0.3309 x4  4 Ca 3.39, 5 Sr 3.48-3.57
Bi  0.0000  0.0000  0.5000 x2  8 Ca 3.26
F  0.0000  0.0000  0.0897 x4  4 Ca 2.47

=====

Below is crystalline Ce3Pr4Se8 at its relaxed geometry, with properties calculated at the PBE-GGA level.

## Properties
uncorrected formation energy: -1.60 eV/atom

Unit cell a=8.3715 b=8.3715 c=23.2609 alpha=90.00 beta=90.00 gamma=120.00
Last column: nearest neighbours and their distance in Å.
Space group R-3m (No. 166, hexagonal axes)
Symmetry-distinct sites (fractional):
Ce  0.0000  0.5000  0.0000 x9  6 Se 2.87-3.05
Pr  0.0000  0.0000  0.0000 x3  6 Se 3.10, 2 Pr 3.39
Pr  0.0000  0.0000  0.1459 x6  4 Se 2.81-2.89
Pr  0.0000  0.0000  0.5000 x3  6 Se 3.10
Se  0.0000  0.0000  0.2665 x6  1 Pr 2.81, 3 Ce 2.87
Se  0.0064  0.5032  0.2524 x18  3 Pr 2.89-3.10, 2 Ce 3.05

=====

Below is crystalline KS2F at its relaxed geometry, with properties calculated at the PBE-GGA level.

## Properties
uncorrected formation energy: -1.08 eV/atom

Unit cell a=3.6840 b=3.6840 c=30.6942 alpha=90.00 beta=90.00 gamma=90.00
Last column: nearest neighbours and their distance in Å.
Space group I-42d (No. 122)
Symmetry-distinct sites (fractional):
K  0.0000  0.0000  0.0000 x4  4 F 2.61
S  0.1405  0.7500  0.6250 x8  2 S 2.11
F  0.0000  0.0000  0.5000 x4  4 K 2.61

=====

Below is crystalline AcDy2Sc at its relaxed geometry, with properties calculated at the PBE-GGA level.

## Properties
E_tot: -4.72 eV/atom

Unit cell a=8.0816 b=8.0816 c=8.0816 alpha=90.00 beta=90.00 gamma=90.00
Last column: nearest neighbours and their distance in Å.
Space group Fm-3m (No. 225)
Symmetry-distinct sites (fractional):
Ac  0.0000  0.0000  0.0000 x4  8 Dy 3.50
Dy  0.2500  0.2500  0.2500 x8  4 Ac 3.50, 4 Sc 3.50
Sc  0.0000  0.0000  0.5000 x4  8 Dy 3.50

=====

Below is crystalline Tb8Pr3Tm2 at its relaxed geometry, with properties calculated at the PBE-GGA level.

## Properties
E_tot: -4.38 eV/atom

Unit cell a=8.7765 b=16.7401 c=11.8900 alpha=90.00 beta=90.27 gamma=90.00
Last column: nearest neighbours and their distance in Å.
Space group C2/c (No. 15)
Symmetry-distinct sites (fractional):
Tb  0.1830  0.1701  0.2482 x8  1 Pr 3.18, 4 Tb 3.21-3.45
Tb  0.1913  0.0259  0.7489 x8  3 Pr 3.26-3.46, 4 Tb 3.28-3.41, 2 Tm 3.46-3.50
Tb  0.2215  0.1619  0.5368 x8  3 Tb 3.12-3.45, 2 Pr 3.36-3.45, 1 Tm 3.45
Tb  0.2294  0.1609  0.9618 x8  3 Tb 3.14-3.43, 3 Pr 3.39-3.50, 1 Tm 3.43
Pr  0.0000  0.0000  0.0000 x4  8 Tb 3.36-3.46
Pr  0.0000  0.2381  0.7500 x4  6 Tb 3.18-3.47
Pr  0.0000  0.3653  0.2500 x4  8 Tb 3.26-3.64
Tm  0.0027  0.4390  0.6128 x8  2 Tm 3.26-3.37, 4 Tb 3.43-3.50

=====

Below is crystalline AcPrBiSb at its relaxed geometry, with properties calculated at the PBE-GGA level.

## Properties
uncorrected formation energy: -0.70 eV/atom

Unit cell a=5.5996 b=5.5996 c=37.9759 alpha=90.00 beta=90.00 gamma=120.00
Last column: nearest neighbours and their distance in Å.
Space group R-3m (No. 166, hexagonal axes)
Symmetry-distinct sites (fractional):
Ac  0.0000  0.0000  0.2074 x6  4 Sb 3.26-3.51, 1 Bi 3.36
Pr  0.0000  0.0000  0.3791 x6  4 Bi 3.16-3.25
Bi  0.0000  0.0000  0.2959 x6  4 Pr 3.16-3.25, 1 Ac 3.36
Sb  0.0000  0.0000  0.1149 x6  4 Ac 3.26-3.51

=====

Below is crystalline Li2AcPuSb2 at its relaxed geometry, with properties calculated at the PBE-GGA level.

## Properties
uncorrected formation energy: -0.73 eV/atom

Unit cell a=4.8349 b=4.8349 c=7.6933 alpha=90.00 beta=90.00 gamma=120.00
Last column: nearest neighbours and their distance in Å.
Space group P-3m1 (No. 164)
Symmetry-distinct sites (fractional):
Li  0.3333  0.6667  0.1977 x2  3 Sb 2.80
Ac  0.0000  0.0000  0.5000 x1  6 Sb 3.48, 6 Li 3.63, 2 Pu 3.85
Pu  0.0000  0.0000  0.0000 x1  6 Li 3.18, 6 Sb 3.30
Sb  0.3333  0.6667  0.7710 x2  3 Li 2.80

=====

Below is crystalline ErTm2AlN at its relaxed geometry, with properties calculated at the PBE-GGA level.

## Properties
uncorrected formation energy: -0.95 eV/atom

Unit cell a=4.6873 b=4.6873 c=4.7162 alpha=90.00 beta=90.00 gamma=90.00
Last column: nearest neighbours and their distance in Å.
Space group P4/mmm (No. 123)
Symmetry-distinct sites (fractional):
Er  0.0000  0.0000  0.0000 x1  2 N 2.36
Tm  0.0000  0.5000  0.5000 x2  2 N 2.34
Al  0.5000  0.5000  0.0000 x1  4 Er 3.31, 8 Tm 3.32
N  0.0000  0.0000  0.5000 x1  4 Tm 2.34, 2 Er 2.36

=====

Below is crystalline SmEuCuHg at its relaxed geometry, with properties calculated at the PBE-GGA level.

## Properties
E_tot: -5.12 eV/atom

Unit cell a=7.4573 b=7.4573 c=7.4573 alpha=90.00 beta=90.00 gamma=90.00
Last column: nearest neighbours and their distance in Å.
Space group F-43m (No. 216)
Symmetry-distinct sites (fractional):
Sm  0.0000  0.0000  0.0000 x4  4 Cu 3.23, 4 Hg 3.23
Eu  0.0000  0.0000  0.5000 x4  4 Hg 3.23, 4 Cu 3.23
Cu  0.2500  0.2500  0.7500 x4  4 Sm 3.23, 4 Eu 3.23
Hg  0.2500  0.2500  0.2500 x4  4 Sm 3.23, 4 Eu 3.23